No. 1
An optimized crystal structure of RbHg2S2Br, computed with GGA-PBE.

Unit cell a=6.9002 b=6.9474 c=9.7511 alpha=90.00 beta=106.28 gamma=90.00
Fractional coordinates of all 12 atoms:
Rb1 0.2327 0.2500 0.0207
Rb2 0.7673 0.7500 0.9793
Hg1 0.2979 0.5031 0.6368
Hg2 0.2979 0.9969 0.6368
Hg3 0.7021 0.0031 0.3632
Hg4 0.7021 0.4969 0.3632
S1 0.0739 0.2500 0.6517
S2 0.4738 0.2500 0.3841
S3 0.5262 0.7500 0.6159
S4 0.9261 0.7500 0.3483
Br1 0.2482 0.7500 0.9394
Br2 0.7518 0.2500 0.0606

Values from the calculation:
**N(E_F)**: 0.0000 states/eV/atom
**Uncorrected formation energy**: -0.639 eV/atom

No. 2
An optimized crystal structure of Rb2HgSBr6, computed with GGA-PBE.

Unit cell a=8.0238 b=8.0238 c=8.0238 alpha=120.66 beta=120.66 gamma=88.86
Fractional coordinates of all 10 atoms:
Rb1 0.2500 0.7500 0.5000
Rb2 0.7500 0.2500 0.5000
Hg1 0.0000 0.0000 0.0000
S1 0.5000 0.5000 0.0000
Br1 0.2201 0.2201 0.0000
Br2 0.2764 0.2764 0.5527
Br3 0.2764 0.7236 0.0000
Br4 0.7236 0.2764 0.0000
Br5 0.7236 0.7236 0.4473
Br6 0.7799 0.7799 0.0000

Values from the calculation:
**N(E_F)**: 0.0000 states/eV/atom
**Uncorrected formation energy**: -0.786 eV/atom

No. 3
An optimized crystal structure of Rb2HgSBr, computed with GGA-PBE.

Unit cell a=6.4522 b=6.4522 c=5.1430 alpha=90.00 beta=90.00 gamma=90.00
Fractional coordinates of all 5 atoms:
Rb1 0.0000 0.5000 0.0000
Rb2 0.5000 0.0000 0.0000
Hg1 0.0000 0.0000 0.5000
S1 0.0000 0.0000 0.0000
Br1 0.5000 0.5000 0.5000

Values from the calculation:
**Energy relative to the lowest polymorph listed for this composition**: 0.00 kJ per mole of atoms
**N(E_F)**: 0.2465 states/eV/atom
**Uncorrected formation energy**: -0.976 eV/atom

No. 4
An optimized crystal structure of RbScHgBr6, computed with GGA-PBE.

Unit cell a=7.2411 b=7.2411 c=7.5765 alpha=90.13 beta=90.13 gamma=120.23
Fractional coordinates of all 9 atoms:
Rb1 0.0000 0.0000 0.0000
Sc1 0.6661 0.3339 0.5000
Hg1 0.3336 0.6664 0.5000
Br1 0.3863 0.3664 0.7091
Br2 0.3876 0.0190 0.2891
Br3 0.6320 0.0188 0.7089
Br4 0.6336 0.6137 0.2909
Br5 0.9812 0.3680 0.2911
Br6 0.9810 0.6124 0.7109

Values from the calculation:
**N(E_F)**: 0.0000 states/eV/atom
**Uncorrected formation energy**: -1.292 eV/atom

No. 5
An optimized crystal structure of RbHg2SeBr, computed with GGA-PBE.

Unit cell a=5.4044 b=5.4044 c=7.0411 alpha=90.00 beta=90.00 gamma=90.00
Fractional coordinates of all 5 atoms:
Rb1 0.0000 0.0000 0.0000
Hg1 0.0000 0.5000 0.5000
Hg2 0.5000 0.0000 0.5000
Se1 0.0000 0.0000 0.5000
Br1 0.5000 0.5000 0.0000

Values from the calculation:
**N(E_F)**: 0.4524 states/eV/atom
**Uncorrected formation energy**: -0.628 eV/atom

No. 6
An optimized crystal structure of RbHg2Se2Br, computed with GGA-PBE.

Unit cell a=6.8085 b=7.0271 c=10.3108 alpha=90.00 beta=105.03 gamma=90.00
Fractional coordinates of all 12 atoms:
Rb1 0.2354 0.2500 0.0145
Rb2 0.7646 0.7500 0.9855
Hg1 0.2987 0.5040 0.6430
Hg2 0.2987 0.9960 0.6430
Hg3 0.7013 0.0040 0.3570
Hg4 0.7013 0.4960 0.3570
Se1 0.0464 0.2500 0.6545
Se2 0.4430 0.2500 0.3744
Se3 0.5570 0.7500 0.6256
Se4 0.9536 0.7500 0.3455
Br1 0.2426 0.7500 0.9325
Br2 0.7574 0.2500 0.0675

Values from the calculation:
**N(E_F)**: 0.0000 states/eV/atom
**Uncorrected formation energy**: -0.661 eV/atom

No. 7
An optimized crystal structure of RbHg2SeBr8, computed with GGA-PBE.

Unit cell a=7.1006 b=8.1134 c=9.4226 alpha=77.80 beta=75.11 gamma=84.65
Fractional coordinates of all 12 atoms:
Rb1 0.0000 0.0000 0.0000
Hg1 0.4957 0.4755 0.7165
Hg2 0.5043 0.5245 0.2835
Se1 0.0000 0.0000 0.5000
Br1 0.1836 0.8273 0.6859
Br2 0.2506 0.8940 0.2848
Br3 0.2657 0.3749 0.5043
Br4 0.2889 0.3557 0.9649
Br5 0.7111 0.6443 0.0351
Br6 0.7343 0.6251 0.4957
Br7 0.7494 0.1060 0.7152
Br8 0.8164 0.1727 0.3141

Values from the calculation:
**N(E_F)**: 0.0441 states/eV/atom
**Uncorrected formation energy**: -0.519 eV/atom

No. 8
An optimized crystal structure of Rb2HgSeBr, computed with GGA-PBE.

Unit cell a=6.6510 b=6.6510 c=5.3483 alpha=90.00 beta=90.00 gamma=90.00
Fractional coordinates of all 5 atoms:
Rb1 0.0000 0.5000 0.0000
Rb2 0.5000 0.0000 0.0000
Hg1 0.0000 0.0000 0.5000
Se1 0.0000 0.0000 0.0000
Br1 0.5000 0.5000 0.5000

Values from the calculation:
**N(E_F)**: 0.2605 states/eV/atom
**Uncorrected formation energy**: -0.976 eV/atom

No. 9
An optimized crystal structure of Rb2HgSeBr6, computed with GGA-PBE.

Unit cell a=8.1264 b=8.1264 c=8.1264 alpha=120.28 beta=120.28 gamma=89.52
Fractional coordinates of all 10 atoms:
Rb1 0.2500 0.7500 0.5000
Rb2 0.7500 0.2500 0.5000
Hg1 0.0000 0.0000 0.0000
Se1 0.5000 0.5000 0.0000
Br1 0.2194 0.2194 0.0000
Br2 0.2720 0.2720 0.5441
Br3 0.2720 0.7280 0.0000
Br4 0.7280 0.2720 0.0000
Br5 0.7280 0.7280 0.4559
Br6 0.7806 0.7806 0.0000

Values from the calculation:
**N(E_F)**: 0.0000 states/eV/atom
**Uncorrected formation energy**: -0.852 eV/atom

No. 10
An optimized crystal structure of RbSmHgBr6, computed with GGA-PBE.

Unit cell a=7.4535 b=7.4535 c=15.2398 alpha=90.00 beta=90.00 gamma=120.00
Fractional coordinates of all 18 atoms:
Rb1 0.0000 0.0000 0.0000
Rb2 0.0000 0.0000 0.5000
Sm1 0.3333 0.6667 0.2500
Sm2 0.6667 0.3333 0.7500
Hg1 0.3333 0.6667 0.7500
Hg2 0.6667 0.3333 0.2500
Br1 0.0008 0.3778 0.6399
Br2 0.0008 0.6230 0.8601
Br3 0.3770 0.3778 0.8601
Br4 0.3770 0.9992 0.6399
Br5 0.3778 0.0008 0.1399
Br6 0.3778 0.3770 0.3601
Br7 0.6222 0.6230 0.6399
Br8 0.6222 0.9992 0.8601
Br9 0.6230 0.0008 0.3601
Br10 0.6230 0.6222 0.1399
Br11 0.9992 0.3770 0.1399
Br12 0.9992 0.6222 0.3601

Values from the calculation:
**N(E_F)**: 0.0000 states/eV/atom
**Uncorrected formation energy**: -1.368 eV/atom

No. 11
An optimized crystal structure of Rb3SnHg2Br9, computed with GGA-PBE.

Unit cell a=8.0568 b=8.0568 c=9.8800 alpha=90.00 beta=90.00 gamma=120.00
Fractional coordinates of all 15 atoms:
Rb1 0.0000 0.0000 0.0000
Rb2 0.3333 0.6667 0.6857
Rb3 0.6667 0.3333 0.3143
Sn1 0.0000 0.0000 0.5000
Hg1 0.3333 0.6667 0.1634
Hg2 0.6667 0.3333 0.8366
Br1 0.0000 0.5000 0.0000
Br2 0.1668 0.3336 0.3304
Br3 0.1668 0.8332 0.3304
Br4 0.3336 0.1668 0.6696
Br5 0.5000 0.0000 0.0000
Br6 0.5000 0.5000 0.0000
Br7 0.6664 0.8332 0.3304
Br8 0.8332 0.1668 0.6696
Br9 0.8332 0.6664 0.6696

Values from the calculation:
**N(E_F)**: 0.0795 states/eV/atom
**Uncorrected formation energy**: -1.022 eV/atom

No. 12
An optimized crystal structure of Rb2SnHgBr6, computed with GGA-PBE.

Unit cell a=8.0077 b=8.0088 c=8.0126 alpha=60.87 beta=60.87 gamma=60.89
Fractional coordinates of all 10 atoms:
Rb1 0.0000 0.0000 0.0000
Rb2 0.4972 0.4960 0.4959
Sn1 0.7382 0.7382 0.7382
Hg1 0.2385 0.2385 0.2388
Br1 0.0593 0.9206 0.4776
Br2 0.4141 0.5529 0.9870
Br3 0.4795 0.0582 0.9213
Br4 0.5526 0.9874 0.4145
Br5 0.9219 0.4778 0.0578
Br6 0.9857 0.4141 0.5527

Values from the calculation:
**Uncorrected formation energy**: -1.066 eV/atom

Question: The lowest uncorrected formation energy belongs to which entry?
Answer: RbSmHgBr6

Question: Which value of uncorrected formation energy does entry 6 give?
Answer: -0.661 eV/atom

Question: Number 1 is which compound?
Answer: RbHg2S2Br

Question: Number 1 is which compound?
Answer: RbHg2S2Br